Computed, not measured: a geometry-optimized SbP2Rh structure at the PBE level of DFT.

Structure (POSCAR):
```
SbP2Rh
1.0
4.5450 0.0291 0.0000
-0.9507 4.4446 0.0000
0.0000 0.0000 3.3502
P Rh Sb
2 1 1
Cartesian
0.0000 0.0000 0.0000
1.7972 2.2368 0.0000
2.2725 0.0145 1.6751
-0.4753 2.2223 1.6751
```

Output
E_form (uncorrected) = 0.374 eV/atom
density = 7.02 g/cm³



Computed, not measured: a geometry-optimized TbNi4As2 structure at the PBE level of DFT.

Structure (POSCAR):
```
TbNi4As2
1.0
-1.7372 -6.8131 -1.8250
2.0725 1.3035 -6.8391
3.5124 -1.1233 0.8503
Tb Ni As
2 8 4
Cartesian
0.1676 -2.7548 -4.3320
1.7562 -0.5617 0.4251
1.0516 -4.3715 -1.6977
2.7961 -2.2614 -6.1161
0.5646 -0.1513 -2.5323
-0.2293 -5.3583 -6.1317
2.7095 -0.8393 -3.8797
1.1382 -5.7937 -3.9341
-0.4187 -2.2464 -1.2381
0.7540 -3.2633 -7.4260
1.9970 -4.5191 -5.7980
1.8507 -2.1139 -2.0158
1.2409 -0.4681 -5.7447
-0.9057 -5.0415 -2.9194
```

Output
density = 9.04 g/cm³
E_form = -0.634 eV/atom



Computed, not measured: a geometry-optimized MgHIr5 structure at the PBE level of DFT.

Structure (POSCAR):
```
MgHIr5
1.0
5.3127 0.0001 -1.5428
-0.4768 3.5855 -1.6415
0.0000 -0.0001 4.8055
Mg H Ir
1 1 5
Cartesian
0.2267 3.2717 1.9849
0.5838 1.6712 3.1911
1.4872 0.8693 1.1772
4.0378 0.8546 0.4043
2.2540 2.1101 -1.1410
2.8811 3.2740 1.2189
4.7693 2.1096 -1.8727
```

Output
polymorph energy (0 for the lowest one) = 0.012 eV per atom
density = 17.89 g/cm³



Computed, not measured: a geometry-optimized Cs2TlHg12 structure at the PBE level of DFT.

Structure (POSCAR):
```
Cs2TlHg12
1.0
7.2814 0.0000 0.0000
0.0000 7.2814 0.0000
0.0000 0.0000 19.8137
Cs Tl Hg
4 2 24
Cartesian
3.6407 0.0000 5.0937
0.0000 3.6407 5.0937
0.0000 3.6407 14.7200
3.6407 0.0000 14.7200
3.6407 0.0000 0.0000
0.0000 3.6407 0.0000
3.6407 3.6407 16.1293
0.0000 0.0000 16.1293
5.4633 5.4588 17.9354
1.8226 5.4633 17.9354
0.0000 0.0000 7.0184
1.8181 5.4588 1.8783
6.1282 2.4875 11.1453
3.6407 3.6407 7.0184
1.8181 1.8226 17.9354
5.4588 5.4633 1.8783
2.4875 1.1532 11.1453
4.7939 1.1532 8.6683
0.0000 0.0000 12.7953
1.1532 2.4875 8.6683
1.8226 1.8181 1.8783
6.1282 4.7939 8.6683
4.7939 6.1282 11.1453
0.0000 0.0000 3.6844
1.1532 4.7939 11.1453
3.6407 3.6407 12.7953
5.4588 1.8181 17.9354
3.6407 3.6407 3.6844
2.4875 6.1282 8.6683
5.4633 1.8226 1.8783
```

Output
density = 9.10 g/cm³
E_form = -0.132 eV/atom